1.
A plane-wave DFT calculation with PBE was carried out for an optimized crystal structure of LiCo2Ni.

As for the crystal system: monoclinic. The calculation puts the electronic total energy at -5.38 eV per atom. The formation enthalpy at 0 K is 0.100 eV/atom. Its density of states at the Fermi level is 3.861 states/eV/cell.

It has space group Pm (No. 6), with a = 2.4036 Å, b = 3.9936 Å, c = 4.6328 Å, α = 90.00°, β = 97.98° and γ = 90.00°. The distinct sites, in fractional coordinates, are Li at (0.0000, 0.0000, 0.0000), Co at (0.2528, 0.5000, 0.7448), Co at (0.4702, 0.0000, 0.5030) and Ni at (0.7913, 0.5000, 0.2432).

---

2.
A plane-wave DFT calculation with PBE was carried out for an optimized crystal structure of LiCo2Ni.

As for the crystal system: orthorhombic. The calculation puts the electronic total energy at -5.34 eV per atom. The formation enthalpy at 0 K is 0.138 eV/atom. Its density of states at the Fermi level is 9.735 states/eV/cell.

It has space group Imm2 (No. 44), with a = 2.5782 Å, b = 4.1652 Å, c = 8.2986 Å, α = 90.00°, β = 90.00° and γ = 90.00°. The distinct sites, in fractional coordinates, are Li at (0.0000, 0.0000, 0.0000), Co at (0.0000, 0.0000, 0.5018), Co at (0.0000, 0.5000, 0.2395) and Ni at (0.0000, 0.5000, 0.7559).

---

3.
A plane-wave DFT calculation with PBE was carried out for an optimized crystal structure of LiCo2Ni.

As for the crystal system: monoclinic. The calculation puts the electronic total energy at -5.37 eV per atom. The formation enthalpy at 0 K is 0.103 eV/atom. Its density of states at the Fermi level is 3.634 states/eV/cell.

It has space group P2/m (No. 10), with a = 2.4054 Å, b = 4.0254 Å, c = 4.6565 Å, α = 90.00°, β = 101.96° and γ = 90.00°. The distinct sites, in fractional coordinates, are Li at (0.0000, 0.0000, 0.0000), Co at (0.2376, 0.5000, 0.7504) and Ni at (0.5000, 0.0000, 0.5000).

---

4.
A plane-wave DFT calculation with PBE was carried out for an optimized crystal structure of LiCo2Ni.

As for the crystal system: tetragonal. The calculation puts the electronic total energy at -5.34 eV per atom. The formation enthalpy at 0 K is 0.133 eV/atom. Its density of states at the Fermi level is 4.300 states/eV/cell.

It has space group P4/mmm (No. 123), with a = 2.4313 Å, b = 2.4313 Å, c = 7.7861 Å, α = 90.00°, β = 90.00° and γ = 90.00°. The distinct sites, in fractional coordinates, are Li at (0.0000, 0.0000, 0.0000), Co at (0.5000, 0.5000, 0.2668) and Ni at (0.0000, 0.0000, 0.5000).

---

5.
A plane-wave DFT calculation with PBE was carried out for an optimized crystal structure of Li2Co2Ni5.

As for the crystal system: monoclinic. The calculation puts the electronic total energy at -5.18 eV per atom. The formation enthalpy at 0 K is 0.038 eV/atom. Its density of states at the Fermi level is 17.831 states/eV/cell.

It has space group C2/m (No. 12), with a = 7.8538 Å, b = 3.5458 Å, c = 7.5194 Å, α = 90.00°, β = 106.67° and γ = 90.00°. The distinct sites, in fractional coordinates, are Li at (0.1722, 0.0000, 0.0530), Co at (0.1720, 0.0000, 0.3903), Ni at (0.0000, 0.5000, 0.5000), Ni at (0.0158, 0.5000, 0.1740) and Ni at (0.1527, 0.0000, 0.7090).

---

6.
A plane-wave DFT calculation with PBE was carried out for an optimized crystal structure of LiCo2Ni.

As for the crystal system: trigonal. The calculation puts the electronic total energy at -5.41 eV per atom. The formation enthalpy at 0 K is 0.071 eV/atom. Its density of states at the Fermi level is 8.830 states/eV/cell.

It has space group R-3m (No. 166, hexagonal axes), with a = 2.4771 Å, b = 2.4771 Å, c = 25.4854 Å, α = 90.00°, β = 90.00° and γ = 120.00°. The distinct sites, in fractional coordinates, are Li at (0.0000, 0.0000, 0.0000), Co at (0.0000, 0.0000, 0.2465) and Ni at (0.0000, 0.0000, 0.5000).

---

Q: Look up the formation enthalpy at 0 K of the fifth one.
A: 0.038 eV/atom